Here is crystalline CoSbTe2 at its relaxed geometry from Alexandria. Energies are from GGA-PBE.

a b c (Å): 5.3437 9.5540 3.7566
angles (deg): 90.00 90.00 90.00
Closest atoms and distances in Å follow each position.
Space group Cmmm (No. 65)
One atom of each set of equivalent atoms:
Co  0.0000  0.0000  0.0000 [2 per cell]  4 Te 2.52, 2 Sb 2.67
Sb  0.0000  0.5000  0.0000 [2 per cell]  2 Co 2.67
Te  0.0000  0.1765  0.5000 [4 per cell]  2 Co 2.52

Results
**Formation energy (no corrections)**: 44 meV/atom
**Calculated total energy**: -17.3 eV per formula unit



Here is crystalline AlNiPt2 at its relaxed geometry from Alexandria. Energies are from GGA-PBE.

a b c (Å): 2.8690 2.8690 6.7400
angles (deg): 90.00 90.00 90.00
Closest atoms and distances in Å follow each position.
Space group P4mm (No. 99)
One atom of each set of equivalent atoms:
Al  0.0000  0.0000  0.0000 [1 per cell]  4 Ni 2.46, 4 Pt 2.59
Ni  0.5000  0.5000  0.2051 [1 per cell]  4 Al 2.46, 4 Pt 2.63
Pt  0.0000  0.0000  0.4538 [1 per cell]  4 Ni 2.63, 8 Pt 2.87-2.90
Pt  0.5000  0.5000  0.7604 [1 per cell]  4 Al 2.59, 8 Pt 2.87-2.90

Results
**Calculated formation energy**: -0.5181 eV/atom
**Calculated total energy**: -23.7 eV per formula unit



Here is crystalline GaCo3H at its relaxed geometry from Alexandria. Energies are from GGA-PBE.

a b c (Å): 8.3285 3.5778 7.1153
angles (deg): 90.00 115.33 90.00
Closest atoms and distances in Å follow each position.
Space group C2/m (No. 12)
One atom of each set of equivalent atoms:
Ga  0.0000  0.0000  0.0000 [2 per cell]  2 H 2.22
Ga  0.0000  0.0000  0.5000 [2 per cell]  12 Co 2.53-2.58
Co  0.0134  0.5000  0.2562 [4 per cell]  1 H 1.65
Co  0.2463  0.0000  0.8689 [4 per cell]  3 H 1.81-1.82
Co  0.2475  0.5000  0.6193 [4 per cell]  1 H 1.87
H  0.2055  0.5000  0.8571 [4 per cell]  4 Co 1.65-1.82

Results
**Calculated total energy**: -28.0 eV per formula unit



Here is crystalline AlZnIn2 at its relaxed geometry from Alexandria. Energies are from GGA-PBE.

a b c (Å): 6.4978 6.5168 5.1112
angles (deg): 90.00 126.52 90.00
Closest atoms and distances in Å follow each position.
Space group C2/m (No. 12)
One atom of each set of equivalent atoms:
Al  0.0000  0.0000  0.0000 [2 per cell]  8 In 3.04-3.13, 4 Zn 3.25-3.26
Zn  0.0000  0.5000  0.0000 [2 per cell]  8 In 3.02-3.15, 4 Al 3.25-3.26
In  0.0000  0.2521  0.5000 [4 per cell]  4 Zn 3.02-3.15, 4 Al 3.04-3.13, 4 In 3.23-3.29

Results
**Calculated formation energy**: 0.1505 eV/atom
**Calculated total energy**: -9.9 eV per formula unit



Here is crystalline LaMn3Sn at its relaxed geometry from Alexandria. Energies are from GGA-PBE.

a b c (Å): 5.0158 5.0158 5.0158
angles (deg): 90.00 90.00 90.00
Closest atoms and distances in Å follow each position.
Space group Pm-3m (No. 221)
One atom of each set of equivalent atoms:
La  0.0000  0.0000  0.0000 [1 per cell]  12 Mn 3.55
Mn  0.0000  0.5000  0.5000 [3 per cell]  2 Sn 2.51
Sn  0.5000  0.5000  0.5000 [1 per cell]  6 Mn 2.51

Results
**Calculated formation energy**: 0.6865 eV/atom
**Calculated total energy**: -33.0 eV per formula unit



Here is crystalline BeBiHPb at its relaxed geometry from Alexandria. Energies are from GGA-PBE.

a b c (Å): 6.8857 4.6034 5.3186
angles (deg): 90.00 90.27 90.00
Closest atoms and distances in Å follow each position.
Space group Cm (No. 8)
One atom of each set of equivalent atoms:
Be  0.0000  0.0000  0.0000 [2 per cell]  1 H 1.45
Bi  0.3454  0.0000  0.7933 [2 per cell]  2 H 2.31
H  0.3722  0.5000  0.7819 [2 per cell]  1 Be 1.45
Pb  0.1386  0.5000  0.2690 [2 per cell]  3 Be 2.87-2.88, 2 H 3.06-3.16

Results
**Calculated total energy**: -13.2 eV per formula unit



Here is crystalline Ho3Ga4Ag at its relaxed geometry from Alexandria. Energies are from GGA-PBE.

a b c (Å): 3.5541 6.3362 16.3343
angles (deg): 90.00 90.00 90.00
Closest atoms and distances in Å follow each position.
Space group Immm (No. 71)
One atom of each set of equivalent atoms:
Ho  0.0000  0.0000  0.0000 [2 per cell]  8 Ga 3.00
Ho  0.0000  0.5000  0.2168 [4 per cell]  6 Ga 2.96-2.98
Ga  0.0000  0.2816  0.3786 [8 per cell]  1 Ag 2.67, 1 Ga 2.77, 3 Ho 2.96-2.98
Ag  0.0000  0.0000  0.5000 [2 per cell]  4 Ga 2.67

Results
**Calculated formation energy**: -0.3628 eV/atom
**Calculated total energy**: -31.6 eV per formula unit



Here is crystalline LiAlZn at its relaxed geometry from Alexandria. Energies are from GGA-PBE.

a b c (Å): 2.7954 2.7954 12.1834
angles (deg): 90.00 90.00 90.00
Closest atoms and distances in Å follow each position.
Space group I4mm (No. 107)
One atom of each set of equivalent atoms:
Li  0.0000  0.0000  0.0000 [2 per cell]  4 Li 2.80, 4 Zn 2.80, 4 Al 2.90
Al  0.0000  0.0000  0.3262 [2 per cell]  4 Al 2.80, 4 Zn 2.80, 4 Li 2.90
Zn  0.0000  0.0000  0.6630 [2 per cell]  4 Zn 2.80, 4 Li 2.80, 4 Al 2.80

Results
**Calculated formation energy**: -0.1089 eV/atom
**Calculated total energy**: -7.3 eV per formula unit